Entry 1:
A relaxed Er6Si2PS3 crystal, computed with GGA-PBE.

Results
Energy relative to the elements, uncorrected (eV/atom): -1.533

a = 17.3167 Å, b = 3.9731 Å, c = 7.9528 Å
α = 90.00°, β = 103.18°, γ = 90.00°
Last column: nearest neighbours and their distance in Å.
Space group C2/m (No. 12)
Inequivalent atoms, fractional coordinates:
1 Er 0.0023 0.0000 0.2450 (multiplicity 4)  1 Si 2.77, 2 P 2.78, 3 S 2.82-2.85
2 Er 0.1648 0.5000 0.0859 (multiplicity 4)  1 P 2.78, 2 Si 2.79, 3 S 2.82-2.87
3 Er 0.1666 0.5000 0.5816 (multiplicity 4)  3 Si 2.80-2.81, 3 S 2.81-2.83
4 Si 0.1668 0.0000 0.3330 (multiplicity 4)  6 Er 2.77-2.81
5 P 0.0000 0.5000 0.0000 (multiplicity 2)  6 Er 2.78
6 S 0.0000 0.5000 0.5000 (multiplicity 2)  6 Er 2.81-2.85
7 S 0.1651 0.0000 0.8344 (multiplicity 4)  6 Er 2.82-2.87

Entry 2:
A relaxed Er6SiP2S3 crystal, computed with GGA-PBE.

Results
Energy relative to the elements, uncorrected (eV/atom): -1.697

a = 17.2181 Å, b = 3.9519 Å, c = 7.8912 Å
α = 90.00°, β = 103.21°, γ = 90.00°
Last column: nearest neighbours and their distance in Å.
Space group C2/m (No. 12)
Inequivalent atoms, fractional coordinates:
1 Er 0.0014 0.0000 0.2476 (multiplicity 4)  2 Si 2.78, 1 P 2.78, 3 S 2.81-2.84
2 Er 0.1651 0.5000 0.0877 (multiplicity 4)  1 Si 2.77, 2 P 2.77, 3 S 2.80-2.83
3 Er 0.1689 0.5000 0.5784 (multiplicity 4)  3 P 2.75, 3 S 2.82-2.83
4 Si 0.0000 0.5000 0.0000 (multiplicity 2)  6 Er 2.77-2.78
5 P 0.1673 0.0000 0.3348 (multiplicity 4)  6 Er 2.75-2.78
6 S 0.0000 0.5000 0.5000 (multiplicity 2)  6 Er 2.81-2.83
7 S 0.1678 0.0000 0.8321 (multiplicity 4)  6 Er 2.80-2.84

Entry 3:
A relaxed Er4SiPS2 crystal, computed with GGA-PBE.

Results
Energy relative to the elements, uncorrected (eV/atom): -1.621

a = 6.8554 Å, b = 3.9616 Å, c = 6.8679 Å
α = 90.00°, β = 109.45°, γ = 90.00°
Last column: nearest neighbours and their distance in Å.
Space group P2/m (No. 10)
Inequivalent atoms, fractional coordinates:
1 Er 0.2419 0.0000 0.2472 (multiplicity 2)  2 P 2.77, 1 Si 2.77, 3 S 2.83
2 Er 0.2446 0.5000 0.7488 (multiplicity 2)  1 P 2.78, 2 Si 2.78, 3 S 2.82
3 Si 0.0000 0.0000 0.5000 (multiplicity 1)  6 Er 2.77-2.78
4 P 0.0000 0.5000 0.0000 (multiplicity 1)  6 Er 2.77-2.78
5 S 0.5000 0.0000 0.0000 (multiplicity 1)  6 Er 2.82-2.83
6 S 0.5000 0.5000 0.5000 (multiplicity 1)  6 Er 2.82-2.83

- energy relative to the elements, uncorrected of number 2 (Er6SiP2S3)?
  -1.697 eV/atom

What did the first record say?
A relaxed Er6Si2PS3 crystal, computed with GGA-PBE.

Results
Energy relative to the elements, uncorrected (eV/atom): -1.533

a = 17.3167 Å, b = 3.9731 Å, c = 7.9528 Å
α = 90.00°, β = 103.18°, γ = 90.00°
Last column: nearest neighbours and their distance in Å.
Space group C2/m (No. 12)
Inequivalent atoms, fractional coordinates:
1 Er 0.0023 0.0000 0.2450 (multiplicity 4)  1 Si 2.77, 2 P 2.78, 3 S 2.82-2.85
2 Er 0.1648 0.5000 0.0859 (multiplicity 4)  1 P 2.78, 2 Si 2.79, 3 S 2.82-2.87
3 Er 0.1666 0.5000 0.5816 (multiplicity 4)  3 Si 2.80-2.81, 3 S 2.81-2.83
4 Si 0.1668 0.0000 0.3330 (multiplicity 4)  6 Er 2.77-2.81
5 P 0.0000 0.5000 0.0000 (multiplicity 2)  6 Er 2.78
6 S 0.0000 0.5000 0.5000 (multiplicity 2)  6 Er 2.81-2.85
7 S 0.1651 0.0000 0.8344 (multiplicity 4)  6 Er 2.82-2.87